This record from Alexandria describes a geometry-optimized Pm4Gd2N structure. The functional is PBE.

Cell lengths 4.960, 4.960, 9.498 Å; angles 74.86, 74.86, 90.00 degrees
Last column: magnetic moment on the atom in μB.
Fractional positions:
Pm 0.864 0.864 0.272  0.09
Pm 0.000 0.500 0.000  0.00
Pm 0.500 0.000 0.000  0.00
Pm 0.136 0.136 0.728  0.09
N 0.000 0.000 0.000  0.00
Gd 0.666 0.666 0.668  7.19
Gd 0.334 0.334 0.332  7.19

**Formation energy without anion corrections**: -213 meV/atom
**VASP energy**: -0.5983 Ry per atom

---

This record from Alexandria describes a geometry-optimized PmGdN2 structure. The functional is PBE.

Cell lengths 3.571, 3.571, 6.185 Å; angles 73.22, 73.22, 60.00 degrees
Last column: magnetic moment on the atom in μB.
Fractional positions:
N 0.752 0.752 0.745  -0.05
N 0.248 0.248 0.255  -0.05
Pm 0.000 0.000 0.000  0.03
Gd 0.500 0.500 0.500  6.96

**Formation energy without anion corrections**: -1504 meV/atom
**VASP energy**: -0.7625 Ry per atom